# CeSm2Sn, relaxed, DFT PBE
data_CeSm2Sn
_space_group_name_H-M_alt 'P 4/m m m'
_space_group_IT_number 123
_space_group_name_Hall '-P 4 2'
_cell_length_a 4.941
_cell_length_b 4.941
_cell_length_c 4.694
_cell_angle_alpha 90.00
_cell_angle_beta 90.00
_cell_angle_gamma 90.00
loop_
_atom_site_label
_atom_site_type_symbol
_atom_site_fract_x
_atom_site_fract_y
_atom_site_fract_z
Ce1 Ce 0.000 0.000 0.000
Sm1 Sm 0.000 0.500 0.500
Sn1 Sn 0.500 0.500 0.000
# * VASP energy: -5.249 eV/atom
# * total moment: 0.465 μB per formula unit
# * calculated volume: 115 Å³/cell
# * ΔE_f: -39 kJ per mole of atoms
# * E above lowest polymorph: 0.00 eV/f.u.